(1)
LaNi2BIr: optimized geometry, PBE-GGA.

Values from the calculation:
SG: No. 123
Energy relative to the elements (eV per atom): -0.392
D(E_F) (states/eV per cell): 3.09
E (eV per atom): -6.797

a b c (Å): 4.1905 4.1905 4.2180
angles (deg): 90.00 90.00 90.00
Closest atoms and distances in Å follow each position.
Atoms (fractional coordinates):
La1 0.0000 0.0000 0.0000  4 Ir 2.96, 8 Ni 2.97
Ni1 0.0000 0.5000 0.5000  2 B 2.10
Ni2 0.5000 0.0000 0.5000  2 B 2.10
B1 0.5000 0.5000 0.5000  4 Ni 2.10, 2 Ir 2.11
Ir1 0.5000 0.5000 0.0000  2 B 2.11



(2)
MnBe2Re: optimized geometry, PBE-GGA.

Values from the calculation:
SG: No. 139
Energy relative to the elements (eV per atom): 0.047
D(E_F) (states/eV per cell): 2.78
E (eV per atom): -7.220

a b c (Å): 4.1215 4.1215 4.1215
angles (deg): 126.56 126.56 78.97
Closest atoms and distances in Å follow each position.
Atoms (fractional coordinates):
Mn1 0.0000 0.0000 0.0000  8 Be 2.44, 4 Re 2.62
Be1 0.2500 0.7500 0.5000  4 Mn 2.44, 4 Re 2.44, 4 Be 2.62
Be2 0.7500 0.2500 0.5000  4 Mn 2.44, 4 Re 2.44, 4 Be 2.62
Re1 0.5000 0.5000 0.0000  8 Be 2.44, 4 Mn 2.62



(3)
K2MgCuGe: optimized geometry, PBE-GGA.

Values from the calculation:
SG: No. 123
Energy relative to the elements (eV per atom): 0.227
D(E_F) (states/eV per cell): 3.26
E (eV per atom): -2.274

a b c (Å): 6.3646 6.3646 4.4953
angles (deg): 90.00 90.00 90.00
Closest atoms and distances in Å follow each position.
Atoms (fractional coordinates):
K1 0.0000 0.5000 0.0000  2 Cu 3.18
K2 0.5000 0.0000 0.0000  2 Cu 3.18
Mg1 0.0000 0.0000 0.5000  8 K 3.90
Cu1 0.5000 0.5000 0.0000  2 Ge 2.25
Ge1 0.5000 0.5000 0.5000  2 Cu 2.25



(4)
NaHf3Os: optimized geometry, PBE-GGA.

Values from the calculation:
SG: No. 221
Energy relative to the elements (eV per atom): 2.001
D(E_F) (states/eV per cell): 6.08
E (eV per atom): -6.481

a b c (Å): 4.7437 4.7437 4.7437
angles (deg): 90.00 90.00 90.00
Closest atoms and distances in Å follow each position.
Atoms (fractional coordinates):
Na1 0.0000 0.0000 0.0000  6 Hf 2.37
Hf1 0.0000 0.0000 0.5000  2 Na 2.37
Hf2 0.0000 0.5000 0.0000  2 Na 2.37
Hf3 0.5000 0.0000 0.0000  2 Na 2.37
Os1 0.5000 0.5000 0.5000  12 Hf 3.35



(5)
Mn2CdSiB: optimized geometry, PBE-GGA.

Values from the calculation:
SG: No. 123
D(E_F) (states/eV per cell): 6.16
Energy relative to the elements, uncorrected (meV per atom): 2307
E (eV per atom): -3.964

a b c (Å): 4.7627 4.7627 3.9395
angles (deg): 90.00 90.00 90.00
Closest atoms and distances in Å follow each position.
Atoms (fractional coordinates):
Mn1 0.0000 0.5000 0.0000  2 Cd 2.38
Mn2 0.5000 0.0000 0.0000  2 Cd 2.38
Cd1 0.0000 0.0000 0.0000  2 B 1.97
Si1 0.5000 0.5000 0.5000  8 Mn 3.09, 4 B 3.37
B1 0.0000 0.0000 0.5000  2 Cd 1.97



(6)
Ta2Nb2Sn: optimized geometry, PBE-GGA.

Values from the calculation:
SG: No. 12
Energy relative to the elements (eV per atom): -0.018
D(E_F) (states/eV per cell): 4.65
E (eV per atom): -9.588

a b c (Å): 7.3312 7.3312 2.9492
angles (deg): 94.47 94.47 37.05
Closest atoms and distances in Å follow each position.
Atoms (fractional coordinates):
Ta1 0.2067 0.2067 0.3040  3 Nb 2.77-2.89, 4 Ta 2.82-2.95, 1 Sn 2.98
Ta2 0.7933 0.7933 0.6960  3 Nb 2.77-2.89, 4 Ta 2.82-2.95, 1 Sn 2.98
Nb1 0.3952 0.3952 0.0670  3 Ta 2.77-2.89, 3 Nb 2.95-2.97, 2 Sn 2.98
Nb2 0.6048 0.6048 0.9330  3 Ta 2.77-2.89, 3 Nb 2.95-2.97, 2 Sn 2.98
Sn1 0.0000 0.0000 0.5000  2 Sn 2.95, 2 Ta 2.98, 8 Nb 2.98-3.28



(7)
NbCr2MoP: optimized geometry, PBE-GGA.

Values from the calculation:
SG: No. 123
Energy relative to the elements (eV per atom): 1.521
D(E_F) (states/eV per cell): 5.94
E (eV per atom): -7.590

a b c (Å): 4.5958 4.5958 4.8469
angles (deg): 90.00 90.00 90.00
Closest atoms and distances in Å follow each position.
Atoms (fractional coordinates):
Nb1 0.0000 0.0000 0.0000  2 Mo 2.42
Cr1 0.0000 0.5000 0.5000  2 Mo 2.30
Cr2 0.5000 0.0000 0.5000  2 Mo 2.30
Mo1 0.0000 0.0000 0.5000  4 Cr 2.30, 2 Nb 2.42
P1 0.5000 0.5000 0.0000  4 Nb 3.25, 8 Cr 3.34



(8)
MgZrTc2: optimized geometry, PBE-GGA.

Values from the calculation:
SG: No. 35
Energy relative to the elements (eV per atom): 0.178
D(E_F) (states/eV per cell): 4.15
E (eV per atom): -7.540

a b c (Å): 2.8430 2.8430 9.2376
angles (deg): 90.00 90.00 108.70
Closest atoms and distances in Å follow each position.
Atoms (fractional coordinates):
Mg1 0.0000 0.0000 0.0000  2 Tc 2.79, 4 Mg 2.84
Zr1 0.5000 0.5000 0.3014  2 Tc 2.76, 4 Zr 2.84
Tc1 0.0000 0.0000 0.5409  6 Tc 2.59-2.84, 2 Zr 2.76
Tc2 0.5000 0.5000 0.7568  6 Tc 2.59-2.84, 2 Mg 2.79



(9)
TlCdPd3: optimized geometry, PBE-GGA.

Values from the calculation:
SG: No. 221
Energy relative to the elements (eV per atom): 0.591
D(E_F) (states/eV per cell): 4.75
E (eV per atom): -3.181

a b c (Å): 5.0000 5.0000 5.0000
angles (deg): 90.00 90.00 90.00
Closest atoms and distances in Å follow each position.
Atoms (fractional coordinates):
Tl1 0.0000 0.0000 0.0000  12 Pd 3.54
Cd1 0.5000 0.5000 0.5000  6 Pd 2.50
Pd1 0.0000 0.5000 0.5000  2 Cd 2.50
Pd2 0.5000 0.0000 0.5000  2 Cd 2.50
Pd3 0.5000 0.5000 0.0000  2 Cd 2.50



(10)
Rb3Ho3ZrTe8: optimized geometry, PBE-GGA.

Values from the calculation:
SG: No. 166
Energy relative to the elements, uncorrected (meV per atom): -1267
E (eV per atom): -4.622

a b c (Å): 10.1246 10.1246 10.1246
angles (deg): 51.40 51.40 51.40
Closest atoms and distances in Å follow each position.
Atoms (fractional coordinates):
Rb1 0.0000 0.5000 0.5000  6 Te 3.66-3.67
Rb2 0.5000 0.0000 0.5000  6 Te 3.66-3.67
Rb3 0.5000 0.5000 0.0000  6 Te 3.66-3.67
Ho1 0.0000 0.0000 0.5000  6 Te 3.08
Ho2 0.0000 0.5000 0.0000  6 Te 3.08
Ho3 0.5000 0.0000 0.0000  6 Te 3.08
Zr1 0.5000 0.5000 0.5000  6 Te 2.98
Te1 0.2331 0.2331 0.2331  3 Ho 3.08
Te2 0.2424 0.7253 0.7253  1 Zr 2.98, 2 Ho 3.08
Te3 0.2747 0.2747 0.7576  1 Zr 2.98, 2 Ho 3.08
Te4 0.2747 0.7576 0.2747  1 Zr 2.98, 2 Ho 3.08
Te5 0.7253 0.2424 0.7253  1 Zr 2.98, 2 Ho 3.08
Te6 0.7253 0.7253 0.2424  1 Zr 2.98, 2 Ho 3.08
Te7 0.7576 0.2747 0.2747  1 Zr 2.98, 2 Ho 3.08
Te8 0.7669 0.7669 0.7669  3 Ho 3.08



(11)
Ca3MgHg7: optimized geometry, PBE-GGA.

Values from the calculation:
SG: No. 63
Energy relative to the elements (eV per atom): -0.336
D(E_F) (states/eV per cell): 10.64
E (eV per atom): -1.219

a b c (Å): 10.9207 10.9207 14.1607
angles (deg): 90.00 90.00 159.33
Closest atoms and distances in Å follow each position.
Atoms (fractional coordinates):
Ca1 0.0932 0.9068 0.5445  8 Hg 3.14-3.51
Ca2 0.0932 0.9068 0.9555  8 Hg 3.14-3.51
Ca3 0.2534 0.7466 0.2500  7 Hg 2.99-3.26
Ca4 0.7466 0.2534 0.7500  7 Hg 2.99-3.26
Ca5 0.9068 0.0932 0.0445  8 Hg 3.14-3.51
Ca6 0.9068 0.0932 0.4555  8 Hg 3.14-3.51
Mg1 0.0613 0.9387 0.2500  8 Hg 2.96-3.17
Mg2 0.9387 0.0613 0.7500  8 Hg 2.96-3.17
Hg1 0.2927 0.7073 0.0478  3 Hg 2.95-3.01, 3 Ca 2.99-3.14
Hg2 0.2927 0.7073 0.4522  3 Hg 2.95-3.01, 3 Ca 2.99-3.14
Hg3 0.3461 0.6539 0.6444  3 Hg 2.95-2.99, 2 Mg 3.17, 2 Ca 3.26
Hg4 0.3461 0.6539 0.8556  3 Hg 2.95-2.99, 2 Mg 3.17, 2 Ca 3.26
Hg5 0.4049 0.5951 0.2500  2 Hg 3.12, 1 Ca 3.25
Hg6 0.4834 0.5166 0.6089  2 Mg 2.96, 3 Hg 2.99-3.17, 2 Ca 3.20
Hg7 0.4834 0.5166 0.8911  2 Mg 2.96, 3 Hg 2.99-3.17, 2 Ca 3.20
Hg8 0.5166 0.4834 0.1089  2 Mg 2.96, 3 Hg 2.99-3.17, 2 Ca 3.20
Hg9 0.5166 0.4834 0.3911  2 Mg 2.96, 3 Hg 2.99-3.17, 2 Ca 3.20
Hg10 0.5951 0.4049 0.7500  2 Hg 3.12, 1 Ca 3.25
Hg11 0.6539 0.3461 0.1444  3 Hg 2.95-2.99, 2 Mg 3.17, 2 Ca 3.26
Hg12 0.6539 0.3461 0.3556  3 Hg 2.95-2.99, 2 Mg 3.17, 2 Ca 3.26
Hg13 0.7073 0.2927 0.5478  3 Hg 2.95-3.01, 3 Ca 2.99-3.14
Hg14 0.7073 0.2927 0.9522  3 Hg 2.95-3.01, 3 Ca 2.99-3.14



(12)
CoAg3Os: optimized geometry, PBE-GGA.

Values from the calculation:
SG: No. 221
Energy relative to the elements (eV per atom): 1.791
D(E_F) (states/eV per cell): 6.24
E (eV per atom): -3.587

a b c (Å): 4.6620 4.6620 4.6620
angles (deg): 90.00 90.00 90.00
Closest atoms and distances in Å follow each position.
Atoms (fractional coordinates):
Co1 0.0000 0.0000 0.0000  6 Ag 2.33
Ag1 0.0000 0.0000 0.5000  2 Co 2.33
Ag2 0.0000 0.5000 0.0000  2 Co 2.33
Ag3 0.5000 0.0000 0.0000  2 Co 2.33
Os1 0.5000 0.5000 0.5000  12 Ag 3.30



(13)
Sr2As4Pd5: optimized geometry, PBE-GGA.

Values from the calculation:
SG: No. 69
Energy relative to the elements (eV per atom): -0.655
D(E_F) (states/eV per cell): 5.23
E (eV per atom): -5.012

a b c (Å): 9.1484 8.0418 6.0246
angles (deg): 79.73 59.88 40.39
Closest atoms and distances in Å follow each position.
Atoms (fractional coordinates):
Sr1 0.1386 0.1386 0.8614  6 As 3.39-3.59, 10 Pd 3.44-3.66
Sr2 0.8614 0.8614 0.1386  6 As 3.39-3.59, 10 Pd 3.44-3.66
As1 0.2157 0.5337 0.4663  5 Pd 2.51-2.57
As2 0.4663 0.7843 0.2157  5 Pd 2.51-2.57
As3 0.5337 0.2157 0.7843  5 Pd 2.51-2.57
As4 0.7843 0.4663 0.5337  5 Pd 2.51-2.57
Pd1 0.0000 0.0000 0.5000  4 As 2.57
Pd2 0.2500 0.2500 0.2500  4 As 2.56
Pd3 0.5000 0.5000 0.0000  4 As 2.57
Pd4 0.5000 0.5000 0.5000  4 As 2.51
Pd5 0.7500 0.7500 0.7500  4 As 2.56



(14)
AlCuTc2: optimized geometry, PBE-GGA.

Values from the calculation:
SG: No. 25
Energy relative to the elements (eV per atom): -0.074
D(E_F) (states/eV per cell): 3.04
E (eV per atom): -7.217

a b c (Å): 2.7629 4.3235 4.6900
angles (deg): 90.00 90.00 90.00
Closest atoms and distances in Å follow each position.
Atoms (fractional coordinates):
Al1 0.0000 0.0000 0.0000  2 Cu 2.54, 8 Tc 2.72-2.77, 2 Al 2.76
Cu1 0.0000 0.5000 0.7161  2 Al 2.54, 8 Tc 2.70-2.76, 2 Cu 2.76
Tc1 0.5000 0.0000 0.5009  4 Tc 2.53-2.76, 4 Al 2.72-2.73, 4 Cu 2.76
Tc2 0.5000 0.5000 0.2220  4 Tc 2.53-2.76, 4 Cu 2.70-2.75, 4 Al 2.77



(15)
SrTh2Al9: optimized geometry, PBE-GGA.

Values from the calculation:
SG: No. 194
Energy relative to the elements (eV per atom): -0.293
D(E_F) (states/eV per cell): 15.45
E (eV per atom): -4.476

a b c (Å): 5.6940 5.6940 18.1444
angles (deg): 90.00 90.00 120.00
Closest atoms and distances in Å follow each position.
Atoms (fractional coordinates):
Sr1 0.3333 0.6667 0.2500  18 Al 3.29-3.65
Sr2 0.6667 0.3333 0.7500  18 Al 3.29-3.65
Th1 0.3333 0.6667 0.0359  12 Al 3.27-3.35, 3 Th 3.54
Th2 0.3333 0.6667 0.4641  12 Al 3.27-3.35, 3 Th 3.54
Th3 0.6667 0.3333 0.5359  12 Al 3.27-3.35, 3 Th 3.54
Th4 0.6667 0.3333 0.9641  12 Al 3.27-3.35, 3 Th 3.54
Al1 0.0000 0.0000 0.0000  6 Al 2.80
Al2 0.0000 0.0000 0.2500  6 Al 2.83
Al3 0.0000 0.0000 0.5000  6 Al 2.80
Al4 0.0000 0.0000 0.7500  6 Al 2.83
Al5 0.1694 0.3388 0.6241  7 Al 2.80-2.89
Al6 0.1694 0.3388 0.8759  7 Al 2.80-2.89
Al7 0.1694 0.8306 0.6241  7 Al 2.80-2.89
Al8 0.1694 0.8306 0.8759  7 Al 2.80-2.89
Al9 0.3333 0.6667 0.7500  6 Al 2.80
Al10 0.3388 0.1694 0.1241  7 Al 2.80-2.89
Al11 0.3388 0.1694 0.3759  7 Al 2.80-2.89
Al12 0.6612 0.8306 0.6241  7 Al 2.80-2.89
Al13 0.6612 0.8306 0.8759  7 Al 2.80-2.89
Al14 0.6667 0.3333 0.2500  6 Al 2.80
Al15 0.8306 0.1694 0.1241  7 Al 2.80-2.89
Al16 0.8306 0.1694 0.3759  7 Al 2.80-2.89
Al17 0.8306 0.6612 0.1241  7 Al 2.80-2.89
Al18 0.8306 0.6612 0.3759  7 Al 2.80-2.89



(16)
KPm2AsO5: optimized geometry, PBE-GGA.

Values from the calculation:
SG: No. 140
Energy relative to the elements, uncorrected (meV per atom): -2298
E (eV per atom): -6.747

a b c (Å): 7.7122 7.7122 7.7122
angles (deg): 127.64 127.64 77.21
Closest atoms and distances in Å follow each position.
Atoms (fractional coordinates):
K1 0.2500 0.2500 0.0000  10 O 3.01-3.04
K2 0.7500 0.7500 0.0000  10 O 3.01-3.04
Pm1 0.1782 0.6782 0.8564  4 O 2.31-2.50
Pm2 0.3218 0.1782 0.5000  4 O 2.31-2.50
Pm3 0.6782 0.8218 0.5000  4 O 2.31-2.50
Pm4 0.8218 0.3218 0.1436  4 O 2.31-2.50
As1 0.2500 0.7500 0.5000  4 O 2.02
As2 0.7500 0.2500 0.5000  4 O 2.02
O1 0.0000 0.0000 0.0000  4 Pm 2.50
O2 0.0145 0.2374 0.5000  1 As 2.02
O3 0.2374 0.7374 0.2229  1 As 2.02
O4 0.2626 0.4855 0.5000  1 As 2.02
O5 0.4855 0.9855 0.2229  1 As 2.02
O6 0.5000 0.5000 0.0000  4 Pm 2.50
O7 0.5145 0.0145 0.7771  1 As 2.02
O8 0.7374 0.5145 0.5000  1 As 2.02
O9 0.7626 0.2626 0.7771  1 As 2.02
O10 0.9855 0.7626 0.5000  1 As 2.02



(17)
BSCl2: optimized geometry, PBE-GGA.

Values from the calculation:
SG: No. 122
D(E_F) (states/eV per cell): 6.00
Energy relative to the elements, uncorrected (meV per atom): 756
E (eV per atom): -2.869

a b c (Å): 6.4395 6.4395 6.4395
angles (deg): 119.96 119.96 90.06
Closest atoms and distances in Å follow each position.
Atoms (fractional coordinates):
B1 0.0000 0.0000 0.0000  4 Cl 1.97
B2 0.7500 0.2500 0.5000  4 Cl 1.97
S1 0.2500 0.7500 0.5000  12 Cl 3.77-3.79, 4 S 3.94, 4 B 3.94
S2 0.5000 0.5000 0.0000  12 Cl 3.77-3.79, 4 S 3.94, 4 B 3.94
Cl1 0.3750 0.1268 0.2518  2 B 1.97
Cl2 0.8732 0.1250 0.2482  2 B 1.97
Cl3 0.8750 0.1232 0.7482  2 B 1.97
Cl4 0.8768 0.6250 0.7518  2 B 1.97



(18)
K3Pr2TmS6: optimized geometry, PBE-GGA.

Values from the calculation:
SG: No. 12
D(E_F) (states/eV per cell): 0.00
Energy relative to the elements, uncorrected (meV per atom): -1850
E (eV per atom): -5.358

a b c (Å): 7.1952 7.1952 7.7758
angles (deg): 98.89 98.89 120.00
Closest atoms and distances in Å follow each position.
Atoms (fractional coordinates):
K1 0.0000 0.0000 0.0000  6 S 3.21-3.31
K2 0.3323 0.6677 0.0000  6 S 3.21-3.30
K3 0.6677 0.3323 0.0000  6 S 3.21-3.30
Pr1 0.1665 0.8335 0.5000  6 S 2.88
Pr2 0.8335 0.1665 0.5000  6 S 2.88
Tm1 0.5000 0.5000 0.5000  6 S 2.76
S1 0.1113 0.4315 0.2946  1 Tm 2.76, 2 Pr 2.88
S2 0.2484 0.2484 0.7050  1 Tm 2.76, 2 Pr 2.88
S3 0.4315 0.1113 0.2946  1 Tm 2.76, 2 Pr 2.88
S4 0.5685 0.8887 0.7054  1 Tm 2.76, 2 Pr 2.88
S5 0.7516 0.7516 0.2950  1 Tm 2.76, 2 Pr 2.88
S6 0.8887 0.5685 0.7054  1 Tm 2.76, 2 Pr 2.88



(19)
Y4NiAu: optimized geometry, PBE-GGA.

Values from the calculation:
SG: No. 14
Energy relative to the elements (eV per atom): -0.333
D(E_F) (states/eV per cell): 15.83
E (eV per atom): -6.152

a b c (Å): 6.9138 7.0106 6.8954
angles (deg): 90.00 94.10 90.00
Closest atoms and distances in Å follow each position.
Atoms (fractional coordinates):
Y1 0.1540 0.1636 0.1822  2 Ni 2.75-2.84, 1 Au 3.01
Y2 0.1540 0.3364 0.6822  2 Ni 2.75-2.84, 1 Au 3.01
Y3 0.3251 0.6540 0.1308  1 Ni 2.60, 1 Au 2.88
Y4 0.3251 0.8460 0.6308  1 Ni 2.60, 1 Au 2.88
Y5 0.6749 0.1540 0.3692  1 Ni 2.60, 1 Au 2.88
Y6 0.6749 0.3460 0.8692  1 Ni 2.60, 1 Au 2.88
Y7 0.8460 0.6636 0.3178  2 Ni 2.75-2.84, 1 Au 3.01
Y8 0.8460 0.8364 0.8178  2 Ni 2.75-2.84, 1 Au 3.01
Ni1 0.0000 0.0000 0.5000  6 Y 2.60-2.84
Ni2 0.0000 0.5000 0.0000  6 Y 2.60-2.84
Au1 0.5000 0.0000 0.0000  6 Y 2.88-3.01
Au2 0.5000 0.5000 0.5000  6 Y 2.88-3.01



(20)
SrAl2As: optimized geometry, PBE-GGA.

Values from the calculation:
SG: No. 123
Energy relative to the elements (eV per atom): -0.170
D(E_F) (states/eV per cell): 1.40
E (eV per atom): -3.624

a b c (Å): 3.6016 3.6016 7.1700
angles (deg): 90.00 90.00 90.00
Closest atoms and distances in Å follow each position.
Atoms (fractional coordinates):
Sr1 0.0000 0.0000 0.0000  8 Al 3.43, 2 As 3.59, 4 Sr 3.60
Al1 0.5000 0.5000 0.3198  1 Al 2.58, 4 As 2.86
Al2 0.5000 0.5000 0.6802  1 Al 2.58, 4 As 2.86
As1 0.0000 0.0000 0.5000  8 Al 2.86



| no. | size of the total moment (μB/f.u.) |
| --- | --- |
| 1 | 0.0 |
| 2 | 2.8 |
| 3 | 0.0 |
| 4 | 0.0 |
| 5 | 0.1 |
| 6 | 0.0 |
| 7 | 5.3 |
| 8 | 0.0 |
| 9 | 0.0 |
| 10 | 0.0 |
| 11 | 0.0 |
| 12 | 4.2 |
| 13 | 0.0 |
| 14 | 0.0 |
| 15 | 0.0 |
| 16 | 0.0 |
| 17 | 1.8 |
| 18 | 0.0 |
| 19 | 0.0 |
| 20 | 0.0 |